# 1
The following is a DFT calculation (PBE) of AlS2O after structural relaxation.

DFT total energy ... -4.186 eV per atom
Volume ... 17.758 A^3/atom
E above lowest polymorph ... 378 meV per atom
Raw formation energy ... 0.05 eV/atom

Geometry as CIF:
```
data_AlS2O
_symmetry_space_group_name_H-M 'P 1'
_symmetry_Int_Tables_number 1
_symmetry_space_group_name_Hall 'P 1'
_cell_length_a 4.893
_cell_length_b 4.893
_cell_length_c 6.869
_cell_angle_alpha 69.14
_cell_angle_beta 69.14
_cell_angle_gamma 90.00
loop_
_atom_site_label
_atom_site_type_symbol
_atom_site_fract_x
_atom_site_fract_y
_atom_site_fract_z
S1 S 0.604 0.125 0.250
S2 S 0.375 0.396 0.750
S3 S 0.146 0.625 0.250
S4 S 0.875 0.854 0.750
O1 O 0.250 0.750 0.500
O2 O 0.500 0.500 0.000
Al1 Al 0.000 0.000 0.000
Al2 Al 0.750 0.250 0.500
```


# 2
The following is a DFT calculation (PBE) of AlSO3 after structural relaxation.

DFT total energy ... -4.729 eV per atom
Volume ... 10.332 A^3/atom
Raw formation energy ... -0.18 eV/atom

Geometry as CIF:
```
data_AlSO3
_symmetry_space_group_name_H-M 'P 1'
_symmetry_Int_Tables_number 1
_symmetry_space_group_name_Hall 'P 1'
_cell_length_a 3.724
_cell_length_b 3.724
_cell_length_c 3.724
_cell_angle_alpha 90.00
_cell_angle_beta 90.00
_cell_angle_gamma 90.00
loop_
_atom_site_label
_atom_site_type_symbol
_atom_site_fract_x
_atom_site_fract_y
_atom_site_fract_z
O1 O 0.000 0.000 0.500
O2 O 0.500 0.000 0.000
O3 O 0.000 0.500 0.000
Al1 Al 0.500 0.500 0.500
S1 S 0.000 0.000 0.000
```


Look up the volume of the second one.
10.332 A^3/atom


Which of these has the highest DFT total energy?
AlS2O


Look up the raw formation energy of the second one.
-0.18 eV/atom